Record 1
# CeHoCd4, optimized geometry, DFT GGA-PBE
# Formation energy from the elements (eV per atom): -0.273
# Distance to the lowest polymorph of the same formula (kJ/mol of atoms): 0.0
data_CeHoCd4
_symmetry_space_group_name_H-M 'P m m m'
_symmetry_Int_Tables_number 47
_symmetry_space_group_name_Hall '-P 2 2'
_cell_length_a 3.325
_cell_length_b 5.058
_cell_length_c 8.766
_cell_angle_alpha 90.00
_cell_angle_beta 90.00
_cell_angle_gamma 90.00
loop_
_atom_site_label
_atom_site_fract_x
_atom_site_fract_y
_atom_site_fract_z
_atom_site_occupancy
Ce1 0.000 0.000 0.000 1
Ho1 0.000 0.500 0.500 1
Cd1 0.500 0.000 0.337 1
Cd2 0.500 0.500 0.171 1

***

Record 2
# Al4Te, optimized geometry, DFT GGA-PBE
# Distance to the lowest polymorph of the same formula (kJ/mol of atoms): 0.0
# E_form (uncorrected) (meV/atom): 160
data_Al4Te
_symmetry_space_group_name_H-M 'I 4/m m m'
_symmetry_Int_Tables_number 139
_symmetry_space_group_name_Hall '-I 4 2'
_cell_length_a 3.803
_cell_length_b 3.803
_cell_length_c 14.381
_cell_angle_alpha 90.00
_cell_angle_beta 90.00
_cell_angle_gamma 90.00
loop_
_atom_site_label
_atom_site_fract_x
_atom_site_fract_y
_atom_site_fract_z
_atom_site_occupancy
Al1 0.000 0.000 0.104 1
Al2 0.000 0.500 0.250 1
Te1 0.000 0.000 0.500 1

***

Record 3
# SiIN3, optimized geometry, DFT GGA-PBE
# E_form (uncorrected) (meV/atom): 1133
data_SiIN3
_symmetry_space_group_name_H-M 'P m -3 m'
_symmetry_Int_Tables_number 221
_symmetry_space_group_name_Hall '-P 4 2 3'
_cell_length_a 3.711
_cell_length_b 3.711
_cell_length_c 3.711
_cell_angle_alpha 90.00
_cell_angle_beta 90.00
_cell_angle_gamma 90.00
loop_
_atom_site_label
_atom_site_fract_x
_atom_site_fract_y
_atom_site_fract_z
_atom_site_occupancy
Si1 0.000 0.000 0.000 1
I1 0.500 0.500 0.500 1
N1 0.000 0.000 0.500 1

***

Record 4
# CeSmBi6, optimized geometry, DFT GGA-PBE
# Formation energy from the elements (eV per atom): -0.357
data_CeSmBi6
_symmetry_space_group_name_H-M 'A m m 2'
_symmetry_Int_Tables_number 38
_symmetry_space_group_name_Hall 'A 2 -2'
_cell_length_a 4.631
_cell_length_b 4.699
_cell_length_c 23.421
_cell_angle_alpha 90.00
_cell_angle_beta 90.00
_cell_angle_gamma 90.00
loop_
_atom_site_label
_atom_site_fract_x
_atom_site_fract_y
_atom_site_fract_z
_atom_site_occupancy
Ce1 0.000 0.000 0.000 1
Sm1 0.500 0.000 0.649 1
Bi1 0.000 0.000 0.138 1
Bi2 0.000 0.000 0.390 1
Bi3 0.000 0.000 0.756 1
Bi4 0.500 0.000 0.268 1
Bi5 0.500 0.000 0.512 1
Bi6 0.500 0.000 0.889 1

***

Repeat the second record exactly.
# Al4Te, optimized geometry, DFT GGA-PBE
# Distance to the lowest polymorph of the same formula (kJ/mol of atoms): 0.0
# E_form (uncorrected) (meV/atom): 160
data_Al4Te
_symmetry_space_group_name_H-M 'I 4/m m m'
_symmetry_Int_Tables_number 139
_symmetry_space_group_name_Hall '-I 4 2'
_cell_length_a 3.803
_cell_length_b 3.803
_cell_length_c 14.381
_cell_angle_alpha 90.00
_cell_angle_beta 90.00
_cell_angle_gamma 90.00
loop_
_atom_site_label
_atom_site_fract_x
_atom_site_fract_y
_atom_site_fract_z
_atom_site_occupancy
Al1 0.000 0.000 0.104 1
Al2 0.000 0.500 0.250 1
Te1 0.000 0.000 0.500 1